The following is a DFT calculation (PBE-GGA) of a relaxed structure of Ta2Si2Ir.

Lattice parameters (Å, degrees): 6.1206 6.1206 4.0602 90.00 90.00 90.00
Closest atoms and distances in Å follow each position.
Space group P4/mbm (No. 127)
Asymmetric unit:
Ta (0.1650, 0.3350, 0.0000) x4  6 Si 2.67-2.74, 1 Ta 2.86
Si (0.1340, 0.6340, 0.5000) x4  1 Si 2.32, 2 Ir 2.39
Ir (0.0000, 0.0000, 0.5000) x2  4 Si 2.39

Calculated values
The value obtained for the energy relative to the elements, uncorrected is -0.59 eV/atom. For the density of states at the Fermi level, the calculation gives 1.34 states/eV per atom. The total magnetic moment comes out at 0.000 μB/atom.